CaH12Cl2O6: relaxed, PBEsol. Values from VASP.

The total moment comes out at 0.0 μB/cell. The value obtained for the energy is -4.930 eV/atom.

```
&SYSTEM
  ibrav = 0, nat = 21, ntyp = 4
/
ATOMIC_SPECIES
O 16.00 O.upf
H 1.01 H.upf
Cl 35.45 Cl.upf
Ca 40.08 Ca.upf
CELL_PARAMETERS angstrom
3.828 0.000 0.000
0.000 7.774 0.000
0.000 -3.887 6.732
ATOMIC_POSITIONS crystal
O 0.500 0.000 0.214
H 0.893 0.439 0.338
H 0.527 0.116 0.349
H 0.893 0.662 0.102
H 0.527 0.651 0.767
H 0.527 0.233 0.884
Cl 0.419 0.333 0.667
Cl 0.581 0.667 0.333
H 0.107 0.338 0.439
O 0.000 0.687 0.000
H 0.473 0.767 0.651
H 0.107 0.102 0.662
O 0.000 0.313 0.313
H 0.473 0.884 0.233
O 0.500 0.786 0.786
H 0.107 0.561 0.898
O 0.000 0.000 0.687
O 0.500 0.214 0.000
H 0.473 0.349 0.116
H 0.893 0.898 0.561
Ca 0.000 0.000 0.000
```

BPdS2Cl: relaxed, PBEsol. Values from VASP.

The total moment comes out at 0.7 μB/cell. The value obtained for the energy is -3.604 eV/atom.

```
&SYSTEM
  ibrav = 0, nat = 5, ntyp = 4
/
ATOMIC_SPECIES
Pd 106.42 Pd.upf
S 32.06 S.upf
B 10.81 B.upf
Cl 35.45 Cl.upf
CELL_PARAMETERS angstrom
-1.829 -4.196 0.336
1.335 -0.230 4.385
-4.180 1.932 1.374
ATOMIC_POSITIONS crystal
Pd 0.000 0.000 0.000
S 0.000 0.500 0.000
B 0.500 0.500 0.500
S 0.500 0.000 0.000
Cl 0.000 0.000 0.500
```

Sn2S3: relaxed, PBEsol. Values from VASP.

The total moment comes out at 0.0 μB/cell. The value obtained for the energy is -4.769 eV/atom.

```
&SYSTEM
  ibrav = 0, nat = 20, ntyp = 2
/
ATOMIC_SPECIES
S 32.06 S.upf
Sn 118.71 Sn.upf
CELL_PARAMETERS angstrom
3.767 0.000 0.000
0.000 8.741 0.000
0.000 0.000 13.763
ATOMIC_POSITIONS crystal
S 0.250 0.655 0.992
S 0.750 0.983 0.891
S 0.750 0.345 0.008
S 0.250 0.017 0.109
S 0.750 0.845 0.492
Sn 0.250 0.005 0.330
S 0.750 0.207 0.285
S 0.750 0.707 0.215
S 0.250 0.155 0.508
S 0.250 0.293 0.785
Sn 0.250 0.668 0.552
S 0.250 0.517 0.391
Sn 0.250 0.505 0.170
S 0.250 0.793 0.715
Sn 0.750 0.832 0.052
Sn 0.750 0.995 0.670
Sn 0.250 0.168 0.948
Sn 0.750 0.332 0.448
S 0.750 0.483 0.609
Sn 0.750 0.495 0.830
```

La3CoPb: relaxed, PBEsol. Values from VASP.

The total moment comes out at 0.0 μB/cell. The value obtained for the formation energy is -0.388 eV per atom.

```
&SYSTEM
  ibrav = 0, nat = 5, ntyp = 3
/
ATOMIC_SPECIES
Pb 207.20 Pb.upf
La 138.91 La.upf
Co 58.93 Co.upf
CELL_PARAMETERS angstrom
-4.076 -0.989 3.121
-2.606 -2.037 -4.048
1.981 -4.712 1.095
ATOMIC_POSITIONS crystal
Pb 0.000 0.000 0.000
La 0.500 0.000 0.500
La 0.500 0.500 0.000
Co 0.500 0.500 0.500
La 0.000 0.500 0.500
```

Re4OsSe: relaxed, PBEsol. Values from VASP.

The total moment comes out at 0.0 μB/cell. The value obtained for the energy is -10.576 eV/atom.

```
&SYSTEM
  ibrav = 0, nat = 6, ntyp = 3
/
ATOMIC_SPECIES
Se 78.96 Se.upf
Re 186.21 Re.upf
Os 190.23 Os.upf
CELL_PARAMETERS angstrom
-1.599 4.627 -1.528
0.179 1.263 -4.967
-4.343 0.453 -2.689
ATOMIC_POSITIONS crystal
Se 0.750 0.750 0.750
Re 0.875 0.375 0.375
Re 0.375 0.375 0.875
Re 0.375 0.375 0.375
Re 0.375 0.875 0.375
Os 0.000 0.000 0.000
```

LaCu2Re: relaxed, PBEsol. Values from VASP.

The value obtained for the energy above the most stable polymorph in this dataset is 0.000 eV per atom. The total moment comes out at 0.0 μB/cell. The value obtained for the formation energy is 0.381 eV per atom.

```
&SYSTEM
  ibrav = 0, nat = 4, ntyp = 3
/
ATOMIC_SPECIES
La 138.91 La.upf
Re 186.21 Re.upf
Cu 63.55 Cu.upf
CELL_PARAMETERS angstrom
-0.534 2.040 -1.902
-1.362 -2.545 -2.347
-5.795 0.805 2.489
ATOMIC_POSITIONS crystal
La 0.500 0.500 0.000
Re 0.500 0.500 0.500
Cu 0.000 0.000 0.313
Cu 0.000 0.000 0.687
```

GaHgWAu2: relaxed, PBEsol. Values from VASP.

The total moment comes out at 4.1 μB/cell. The value obtained for the formation energy is 1.747 eV per atom.

```
&SYSTEM
  ibrav = 0, nat = 5, ntyp = 4
/
ATOMIC_SPECIES
Hg 200.59 Hg.upf
Au 196.97 Au.upf
Ga 69.72 Ga.upf
W 183.84 W.upf
CELL_PARAMETERS angstrom
4.707 0.000 0.000
0.000 5.074 0.000
0.000 0.000 5.074
ATOMIC_POSITIONS crystal
Hg 0.000 0.000 0.000
Au 0.000 0.500 0.000
Ga 0.500 0.000 0.000
Au 0.000 0.000 0.500
W 0.500 0.500 0.500
```

Tc2NiOs: relaxed, PBEsol. Values from VASP.

The value obtained for the energy above the most stable polymorph in this dataset is 0.000 eV per atom. The total moment comes out at 0.0 μB/cell. The value obtained for the formation energy is -0.062 eV per atom.

```
&SYSTEM
  ibrav = 0, nat = 4, ntyp = 3
/
ATOMIC_SPECIES
Tc 98.00 Tc.upf
Ni 58.69 Ni.upf
Os 190.23 Os.upf
CELL_PARAMETERS angstrom
-2.223 1.504 -0.217
-2.093 -2.744 2.424
1.241 2.378 3.764
ATOMIC_POSITIONS crystal
Tc 0.000 0.500 0.699
Tc 0.000 0.000 0.037
Ni 0.500 0.000 0.547
Os 0.500 0.500 0.217
```

> What is the total moment in the fifth record?

0.0 μB/cell

> Which value of total moment does entry 8 give?

0.0 μB/cell

> Look up the total moment of the fifth one.

0.0 μB/cell